Entry 1:
{
  "formula": "Ca3As6Pd20",
  "functional": "PBE",
  "state": "relaxed",
  "cell": [[0.000, 6.286, 6.286], [6.286, 0.000, 6.286], [6.286, 6.286, 0.000]],
  "species": ["Ca", "Ca", "Ca", "As", "As", "As", "As", "As", "As", "Pd", "Pd", "Pd", "Pd", "Pd", "Pd", "Pd", "Pd", "Pd", "Pd", "Pd", "Pd", "Pd", "Pd", "Pd", "Pd", "Pd", "Pd", "Pd", "Pd"],
  "frac_coords": [[0.000, 0.000, 0.000], [0.250, 0.250, 0.250], [0.750, 0.750, 0.750], [0.264, 0.264, 0.736], [0.264, 0.736, 0.264], [0.264, 0.736, 0.736], [0.736, 0.264, 0.264], [0.736, 0.264, 0.736], [0.736, 0.736, 0.264], [0.000, 0.000, 0.349], [0.000, 0.000, 0.651], [0.000, 0.349, 0.000], [0.000, 0.349, 0.651], [0.000, 0.651, 0.000], [0.000, 0.651, 0.349], [0.153, 0.616, 0.616], [0.349, 0.000, 0.000], [0.349, 0.000, 0.651], [0.349, 0.651, 0.000], [0.384, 0.384, 0.384], [0.384, 0.384, 0.847], [0.384, 0.847, 0.384], [0.616, 0.153, 0.616], [0.616, 0.616, 0.153], [0.616, 0.616, 0.616], [0.651, 0.000, 0.000], [0.651, 0.000, 0.349], [0.651, 0.349, 0.000], [0.847, 0.384, 0.384]],
  "dos_at_fermi_per_ev_fu": 12.642,
  "magnetic_moment_mub_per_fu": 0.000,
  "e_tot_ev_per_atom": -5.292,
  "spacegroup": "Fm-3m, No. 225",
  "ef_ev_per_atom": -0.54,
  "density_g_cm3": 9.02
}

***

Entry 2:
{
  "formula": "CaAs2Pd3",
  "functional": "PBE",
  "state": "relaxed",
  "cell": [[7.891, -2.097, 0.000], [7.891, 2.097, 0.000], [-3.315, 0.000, 6.760]],
  "species": ["Ca", "Ca", "As", "As", "As", "As", "Pd", "Pd", "Pd", "Pd", "Pd", "Pd"],
  "frac_coords": [[0.152, 0.152, 0.071], [0.848, 0.848, 0.929], [0.194, 0.194, 0.707], [0.483, 0.483, 0.823], [0.517, 0.517, 0.177], [0.806, 0.806, 0.293], [0.051, 0.051, 0.374], [0.314, 0.314, 0.578], [0.400, 0.400, 0.314], [0.600, 0.600, 0.686], [0.686, 0.686, 0.422], [0.949, 0.949, 0.626]],
  "dos_at_fermi_per_ev_fu": 2.979,
  "polymorph_energy_kcal_per_mol_atoms": 1.33,
  "magnetic_moment_mub_per_fu": 0.000,
  "e_tot_ev_per_atom": -5.145,
  "spacegroup": "C2/m, No. 12",
  "ef_ev_per_atom": -0.67,
  "density_g_cm3": 7.56
}

***

Entry 3:
{
  "formula": "Ca2As3Pd6",
  "functional": "PBE",
  "state": "relaxed",
  "cell": [[7.413, 0.000, 0.000], [-3.707, 6.420, 0.000], [0.000, 0.000, 4.385]],
  "species": ["Ca", "Ca", "As", "As", "As", "Pd", "Pd", "Pd", "Pd", "Pd", "Pd"],
  "frac_coords": [[0.333, 0.667, 0.000], [0.667, 0.333, 0.000], [0.000, 0.627, 0.500], [0.373, 0.373, 0.500], [0.627, 0.000, 0.500], [0.000, 0.293, 0.500], [0.000, 0.785, 0.000], [0.215, 0.215, 0.000], [0.293, 0.000, 0.500], [0.707, 0.707, 0.500], [0.785, 0.000, 0.000]],
  "dos_at_fermi_per_ev_fu": 3.680,
  "magnetic_moment_mub_per_fu": 0.000,
  "e_tot_ev_per_atom": -5.171,
  "spacegroup": "P-62m, No. 189",
  "ef_ev_per_atom": -0.71,
  "density_g_cm3": 7.51
}

***

Entry 4:
{
  "formula": "CaAsPd3",
  "functional": "PBE",
  "state": "relaxed",
  "cell": [[4.873, 0.000, 0.000], [0.000, 4.873, 0.000], [0.000, 0.000, 4.873]],
  "species": ["Ca", "As", "Pd", "Pd", "Pd"],
  "frac_coords": [[0.000, 0.000, 0.000], [0.500, 0.500, 0.500], [0.000, 0.000, 0.500], [0.000, 0.500, 0.000], [0.500, 0.000, 0.000]],
  "dos_at_fermi_per_ev_fu": 2.477,
  "polymorph_energy_kcal_per_mol_atoms": 32.75,
  "magnetic_moment_mub_per_fu": 0.000,
  "e_tot_ev_per_atom": -3.645,
  "spacegroup": "Pm-3m, No. 221",
  "ef_ev_per_atom": 0.80,
  "density_g_cm3": 6.23
}

***

Entry 5:
{
  "formula": "CaAs2Pd",
  "functional": "PBE",
  "state": "relaxed",
  "cell": [[4.647, 0.000, 0.000], [0.000, 4.647, 0.000], [0.000, 0.000, 17.321]],
  "species": ["Ca", "Ca", "Ca", "Ca", "As", "As", "As", "As", "As", "As", "As", "As", "Pd", "Pd", "Pd", "Pd"],
  "frac_coords": [[0.000, 0.000, 0.000], [0.000, 0.500, 0.250], [0.500, 0.000, 0.750], [0.500, 0.500, 0.500], [0.134, 0.250, 0.625], [0.250, 0.634, 0.875], [0.250, 0.866, 0.375], [0.366, 0.250, 0.125], [0.634, 0.750, 0.125], [0.750, 0.134, 0.375], [0.750, 0.366, 0.875], [0.866, 0.750, 0.625], [0.000, 0.000, 0.500], [0.000, 0.500, 0.750], [0.500, 0.000, 0.250], [0.500, 0.500, 0.000]],
  "dos_at_fermi_per_ev_fu": 0.895,
  "magnetic_moment_mub_per_fu": 0.000,
  "e_tot_ev_per_atom": -4.660,
  "spacegroup": "I-42d, No. 122",
  "ef_ev_per_atom": -0.54,
  "density_g_cm3": 5.26
}

***

Entry 6:
{
  "formula": "CaAs2Pd2",
  "functional": "PBE",
  "state": "relaxed",
  "cell": [[4.344, 0.000, 0.000], [0.000, 4.344, 0.000], [0.000, 0.000, 10.288]],
  "species": ["Ca", "Ca", "As", "As", "As", "As", "Pd", "Pd", "Pd", "Pd"],
  "frac_coords": [[0.000, 0.000, 0.000], [0.500, 0.500, 0.500], [0.000, 0.000, 0.380], [0.000, 0.000, 0.620], [0.500, 0.500, 0.120], [0.500, 0.500, 0.880], [0.000, 0.500, 0.250], [0.000, 0.500, 0.750], [0.500, 0.000, 0.250], [0.500, 0.000, 0.750]],
  "dos_at_fermi_per_ev_fu": 2.446,
  "magnetic_moment_mub_per_fu": 0.000,
  "e_tot_ev_per_atom": -5.077,
  "spacegroup": "I4/mmm, No. 139",
  "ef_ev_per_atom": -0.74,
  "density_g_cm3": 6.89
}

***

Entry 7:
{
  "formula": "Ca2AsPd",
  "functional": "PBE",
  "state": "relaxed",
  "cell": [[5.752, 0.000, 0.000], [0.000, 4.458, 0.000], [-2.658, 0.000, 7.586]],
  "species": ["Ca", "Ca", "Ca", "Ca", "As", "As", "Pd", "Pd"],
  "frac_coords": [[0.203, 0.250, 0.423], [0.287, 0.750, 0.068], [0.713, 0.250, 0.932], [0.797, 0.750, 0.577], [0.353, 0.750, 0.707], [0.647, 0.250, 0.293], [0.159, 0.250, 0.784], [0.841, 0.750, 0.216]],
  "dos_at_fermi_per_ev_fu": 2.953,
  "magnetic_moment_mub_per_fu": 0.000,
  "e_tot_ev_per_atom": -4.358,
  "spacegroup": "P2_1/m, No. 11",
  "ef_ev_per_atom": -0.90,
  "density_g_cm3": 4.47
}

***

Entry 8:
{
  "formula": "CaAs3Pd10",
  "functional": "PBE",
  "state": "relaxed",
  "cell": [[0.000, 6.252, 6.252], [6.252, 0.000, 6.252], [6.252, 6.252, 0.000]],
  "species": ["Ca", "Ca", "As", "As", "As", "As", "As", "As", "Pd", "Pd", "Pd", "Pd", "Pd", "Pd", "Pd", "Pd", "Pd", "Pd", "Pd", "Pd", "Pd", "Pd", "Pd", "Pd", "Pd", "Pd", "Pd", "Pd"],
  "frac_coords": [[0.250, 0.250, 0.250], [0.750, 0.750, 0.750], [0.239, 0.239, 0.761], [0.239, 0.761, 0.239], [0.239, 0.761, 0.761], [0.761, 0.239, 0.239], [0.761, 0.239, 0.761], [0.761, 0.761, 0.239], [0.115, 0.115, 0.115], [0.115, 0.115, 0.654], [0.115, 0.654, 0.115], [0.151, 0.500, 0.500], [0.151, 0.500, 0.849], [0.151, 0.849, 0.500], [0.346, 0.885, 0.885], [0.500, 0.151, 0.500], [0.500, 0.151, 0.849], [0.500, 0.500, 0.151], [0.500, 0.500, 0.849], [0.500, 0.849, 0.151], [0.500, 0.849, 0.500], [0.654, 0.115, 0.115], [0.849, 0.151, 0.500], [0.849, 0.500, 0.151], [0.849, 0.500, 0.500], [0.885, 0.346, 0.885], [0.885, 0.885, 0.346], [0.885, 0.885, 0.885]],
  "dos_at_fermi_per_ev_fu": 2.795,
  "magnetic_moment_mub_per_fu": 0.000,
  "e_tot_ev_per_atom": -5.303,
  "spacegroup": "Fm-3m, No. 225",
  "ef_ev_per_atom": -0.45,
  "density_g_cm3": 9.03
}